No. 1
First-principles (PBE) data for a relaxed Na2HfTePd crystal, as listed in Alexandria via LeMat-Bulk.

Cell and atoms, written as POSCAR:
```
Na2HfTePd
1.0
-4.6350 2.6809 -0.3717
-2.1010 -4.0453 -2.9768
-1.7420 -2.3909 4.4786
Na Te Hf Pd
2 1 1 1
direct
0.0000 0.0000 0.5000
0.5000 0.0000 0.0000
0.0000 0.0000 0.0000
0.0000 0.5000 0.0000
0.5000 0.5000 0.5000
```

Space-group type: P4/mmm, No. 123
Formation energy from raw total energies (kJ/mol of atoms): 47.6

=====

No. 2
First-principles (PBE) data for a relaxed TlGe2RhF crystal, as listed in Alexandria via LeMat-Bulk.

Cell and atoms, written as POSCAR:
```
TlGe2RhF
1.0
4.3783 0.0000 0.0000
0.0000 5.0884 0.0000
0.0000 0.0000 4.3783
Tl Rh Ge F
1 1 2 1
direct
0.0000 0.5000 0.0000
0.5000 0.5000 0.5000
0.0000 0.0000 0.5000
0.5000 0.0000 0.0000
0.0000 0.0000 0.0000
```

Space-group type: P4/mmm, No. 123
Formation energy from raw total energies (kJ/mol of atoms): 8.6

=====

No. 3
First-principles (PBE) data for a relaxed TbEuAgIr crystal, as listed in Alexandria via LeMat-Bulk.

Cell and atoms, written as POSCAR:
```
TbEuAgIr
1.0
5.0469 0.0000 0.0000
2.5234 4.3707 0.0000
2.5234 1.4569 4.1208
Eu Ir Tb Ag
1 1 1 1
direct
0.0000 0.0000 0.0000
0.2500 0.2500 0.2500
0.5000 0.5000 0.5000
0.7500 0.7500 0.7500
```

Total DFT energy (no corrections) (eV/f.u.): -28.31
Space-group type: F-43m, No. 216

=====

No. 4
First-principles (PBE) data for a relaxed In2Te5Au2 crystal, as listed in Alexandria via LeMat-Bulk.

Cell and atoms, written as POSCAR:
```
In2Te5Au2
1.0
4.1673 0.0000 -0.9054
-0.1195 7.7623 -0.5504
-0.1878 0.3168 9.1778
In Te Au
2 5 2
direct
0.5933 0.2227 0.1866
0.4067 0.7773 0.8134
0.6915 0.9273 0.3829
0.3085 0.0727 0.6171
0.8459 0.5659 0.6919
0.1541 0.4341 0.3081
0.0000 0.0000 0.0000
0.8879 0.2407 0.7757
0.1121 0.7593 0.2243
```

Space-group type: C2/m, No. 12
Formation energy from raw total energies (kJ/mol of atoms): -6.4

=====

No. 5
First-principles (PBE) data for a relaxed Sm6BiTe5 crystal, as listed in Alexandria via LeMat-Bulk.

Cell and atoms, written as POSCAR:
```
Sm6BiTe5
1.0
-6.1004 4.5195 -1.6040
-4.1722 -3.2403 -5.6241
-5.7050 -4.8846 1.7534
Sm Bi Te
6 1 5
direct
0.7485 0.0845 0.3336
0.2515 0.5818 0.3336
0.2507 0.2518 0.0000
0.7493 0.7482 0.0000
0.7485 0.4182 0.6664
0.2515 0.9155 0.6664
0.0000 0.0000 0.0000
0.5000 0.1657 0.6687
0.0000 0.3328 0.3344
0.5000 0.5000 0.0000
0.0000 0.6672 0.6656
0.5000 0.8343 0.3313
```

Space-group type: C2/m, No. 12
Formation energy from raw total energies (kJ/mol of atoms): -127.0

=====

No. 6
First-principles (PBE) data for a relaxed GeTe2As crystal, as listed in Alexandria via LeMat-Bulk.

Cell and atoms, written as POSCAR:
```
GeTe2As
1.0
1.8465 0.0000 11.2954
-0.9232 1.5991 11.2954
-0.9232 -1.5991 11.2954
As Te Ge
1 2 1
direct
0.5000 0.5000 0.5000
0.9132 0.9132 0.9132
0.0868 0.0868 0.0868
0.0000 0.0000 0.0000
```

Distance to the lowest polymorph of the same formula (eV per formula unit): 1.72
Space-group type: R-3m, No. 166
Formation energy from raw total energies (kJ/mol of atoms): 44.7

=====

Record order is preserved below.
Spin magnetization: 0.71, 0.00, 7.02, 0.00, 0.00, 0.00 μB per cell